DFT (SCAN) results for a crystal of TlZn2Se relaxed with PBEsol.

abc: 3.784 3.958 5.584
angles: 90.00 90.00 90.00
Fractional positions:
1 Tl 0.000 0.000 0.000
2 Zn 0.000 0.500 0.500
3 Zn 0.500 0.500 0.000
4 Se 0.500 0.000 0.500

Properties
The calculation puts the calculated volume at 83.6 Å³/cell. The energy above the lowest structure with this stoichiometry comes out at 0.064 eV/atom.